No. 1
! Tb4Ge2Bi | Alexandria via LeMat-Bulk | PBE-GGA | relaxed; values from VASP
! - E_tot: -5.18 eV per atom
! - Energy of formation from the pure elements: -0.66 eV/atom
! - Magnetization: 0.001 Bohr magnetons per cell
&SYSTEM
  ibrav = 0, nat = 14, ntyp = 3
/
ATOMIC_SPECIES
Tb 158.93 Tb.upf
Ge 72.64 Ge.upf
Bi 208.98 Bi.upf
CELL_PARAMETERS angstrom
-4.725 4.725 4.760
4.725 -4.725 4.760
4.725 4.725 -4.760
ATOMIC_POSITIONS crystal
Tb 0.212 0.281 0.569
Tb 0.212 0.643 0.931
Tb 0.281 0.212 0.069
Tb 0.357 0.788 0.569
Tb 0.643 0.212 0.431
Tb 0.719 0.788 0.931
Tb 0.788 0.357 0.069
Tb 0.788 0.719 0.431
Ge 0.000 0.500 0.500
Ge 0.500 0.000 0.000
Ge 0.500 0.500 0.000
Ge 0.500 0.500 0.500
Bi 0.125 0.875 0.250
Bi 0.875 0.125 0.750

No. 2
! Ho3CdIn3 | Alexandria via LeMat-Bulk | PBE-GGA | relaxed; values from VASP
! - E_tot: -3.65 eV per atom
! - Energy of formation from the pure elements: -0.38 eV/atom
! - Magnetization: 0.000 Bohr magnetons per cell
&SYSTEM
  ibrav = 0, nat = 14, ntyp = 3
/
ATOMIC_SPECIES
Ho 164.93 Ho.upf
Cd 112.41 Cd.upf
In 114.82 In.upf
CELL_PARAMETERS angstrom
5.676 -2.355 0.000
5.676 2.355 0.000
-4.615 0.000 14.035
ATOMIC_POSITIONS crystal
Ho 0.034 0.034 0.380
Ho 0.099 0.099 0.921
Ho 0.229 0.229 0.217
Ho 0.771 0.771 0.783
Ho 0.901 0.901 0.079
Ho 0.966 0.966 0.620
Cd 0.262 0.262 0.614
Cd 0.738 0.738 0.386
In 0.371 0.371 0.448
In 0.379 0.379 0.928
In 0.488 0.488 0.770
In 0.512 0.512 0.230
In 0.621 0.621 0.072
In 0.629 0.629 0.552

No. 3
! PaCoPt | Alexandria via LeMat-Bulk | PBE-GGA | relaxed; values from VASP
! - E_tot: -8.18 eV per atom
! - Energy of formation from the pure elements: -0.63 eV/atom
! - Magnetization: 0.000 Bohr magnetons per cell
&SYSTEM
  ibrav = 0, nat = 6, ntyp = 3
/
ATOMIC_SPECIES
Pa 231.04 Pa.upf
Co 58.93 Co.upf
Pt 195.08 Pt.upf
CELL_PARAMETERS angstrom
4.791 0.000 0.000
0.000 3.458 0.000
0.000 0.000 6.673
ATOMIC_POSITIONS crystal
Pa 0.250 0.000 0.243
Pa 0.750 0.000 0.757
Co 0.250 0.500 0.986
Co 0.750 0.500 0.014
Pt 0.250 0.500 0.603
Pt 0.750 0.500 0.397